# PmSm2Y3Sb6, relaxed, DFT PBE
# - spin magnetization (μB per cell) = 0.0
# - D(E_F) (states/eV per cell) = 4.34
# - uncorrected energy (eV/atom) = -6.0316
# - raw formation energy (kJ/mol of formula units) = -1357
data_PmSm2Y3Sb6
_chemical_formula_sum 'Pm2 Sm4 Y6 Sb12'
_symmetry_space_group_name_H-M 'C 1 2/m 1'
_symmetry_Int_Tables_number 12
_symmetry_space_group_name_Hall '-C 2y'
_cell_length_a 7.6860
_cell_length_b 13.3131
_cell_length_c 7.6746
_cell_angle_alpha 90.00
_cell_angle_beta 109.49
_cell_angle_gamma 90.00
loop_
_atom_site_label
_atom_site_fract_x
_atom_site_fract_y
_atom_site_fract_z
Pm1 0.0000 0.0000 0.0000
Sm1 0.0000 0.3333 0.0000
Y1 0.0000 0.1663 0.5000
Y2 0.0000 0.5000 0.5000
Sb1 0.2477 0.3329 0.7444
Sb2 0.2490 0.0000 0.7447

---

# CaHfPb, relaxed, DFT PBE
# - spin magnetization (μB per cell) = 0.3
# - D(E_F) (states/eV per cell) = 8.15
# - energy of formation from the pure elements (eV per atom) = -0.219
# - uncorrected energy (eV/atom) = -5.4401
data_CaHfPb
_chemical_formula_sum 'Ca2 Hf2 Pb2'
_symmetry_space_group_name_H-M 'P 4/n m m'
_symmetry_Int_Tables_number 129
_cell_length_a 4.4714
_cell_length_b 4.4714
_cell_length_c 8.3876
_cell_angle_alpha 90.00
_cell_angle_beta 90.00
_cell_angle_gamma 90.00
loop_
_symmetry_equiv_pos_as_xyz
'x,y,z'
'-x,-y,-z'
'-y+1/2,x,z'
'y+1/2,-x,-z'
'-x+1/2,-y+1/2,z'
'x+1/2,y+1/2,-z'
'y,-x+1/2,z'
'-y,x+1/2,-z'
'x+1/2,-y,-z'
'-x+1/2,y,z'
'-y,-x,-z'
'y,x,z'
'-x,y+1/2,-z'
'x,-y+1/2,z'
'y+1/2,x+1/2,-z'
'-y+1/2,-x+1/2,z'
loop_
_atom_site_label
_atom_site_fract_x
_atom_site_fract_y
_atom_site_fract_z
Ca1 0.2500 0.2500 0.1577
Hf1 0.2500 0.7500 0.5000
Pb1 0.2500 0.2500 0.7544

---

# NiSnRu2, relaxed, DFT PBE
# - spin magnetization (μB per cell) = 3.6
# - D(E_F) (states/eV per cell) = 25.31
# - energy of formation from the pure elements (eV per atom) = 1.176
# - uncorrected energy (eV/atom) = -5.9083
data_NiSnRu2
_chemical_formula_sum 'Ni4 Sn4 Ru8'
_symmetry_space_group_name_H-M 'I -4 2 d'
_symmetry_Int_Tables_number 122
_symmetry_space_group_name_Hall 'I -4 2bw'
_cell_length_a 5.5765
_cell_length_b 5.5765
_cell_length_c 11.1244
_cell_angle_alpha 90.00
_cell_angle_beta 90.00
_cell_angle_gamma 90.00
loop_
_atom_site_label
_atom_site_fract_x
_atom_site_fract_y
_atom_site_fract_z
Ni1 0.0000 0.0000 0.0000
Sn1 0.0000 0.0000 0.5000
Ru1 0.1952 0.2500 0.1250

---

# GdSc3Ni, relaxed, DFT PBE
# - spin magnetization (μB per cell) = 7.4
# - D(E_F) (states/eV per cell) = 7.46
# - energy of formation from the pure elements (eV per atom) = -0.098
# - uncorrected energy (eV/atom) = -7.8697
data_GdSc3Ni
_chemical_formula_sum 'Gd1 Sc3 Ni1'
_symmetry_space_group_name_H-M 'P m -3 m'
_symmetry_Int_Tables_number 221
_symmetry_space_group_name_Hall '-P 4 2 3'
_cell_length_a 4.9832
_cell_length_b 4.9832
_cell_length_c 4.9832
_cell_angle_alpha 90.00
_cell_angle_beta 90.00
_cell_angle_gamma 90.00
loop_
_atom_site_label
_atom_site_fract_x
_atom_site_fract_y
_atom_site_fract_z
Gd1 0.0000 0.0000 0.0000
Sc1 0.0000 0.5000 0.5000
Ni1 0.5000 0.5000 0.5000

---

# RbMg2CdIn4, relaxed, DFT PBE
# - spin magnetization (μB per cell) = 0.0
# - D(E_F) (states/eV per cell) = 11.75
# - energy of formation from the pure elements (eV per atom) = -0.034
# - uncorrected energy (eV/atom) = -2.0371
data_RbMg2CdIn4
_chemical_formula_sum 'Rb3 Mg6 Cd3 In12'
_symmetry_space_group_name_H-M 'R -3 m'
_symmetry_Int_Tables_number 166
_symmetry_space_group_name_Hall '-R 3 2"'
_cell_length_a 5.0741
_cell_length_b 5.0741
_cell_length_c 33.1713
_cell_angle_alpha 90.00
_cell_angle_beta 90.00
_cell_angle_gamma 120.00
loop_
_atom_site_label
_atom_site_fract_x
_atom_site_fract_y
_atom_site_fract_z
Rb1 0.0000 0.0000 0.0000
Mg1 0.0000 0.0000 0.2280
Cd1 0.0000 0.0000 0.5000
In1 0.0000 0.0000 0.1268
In2 0.0000 0.0000 0.4071

---

# LiBi2As2Pb2O10, relaxed, DFT PBE
# - spin magnetization (μB per cell) = 0.0
# - D(E_F) (states/eV per cell) = 2.06
# - uncorrected energy (eV/atom) = -5.7380
# - raw formation energy (kJ/mol of formula units) = -2081
# - E above lowest polymorph (meV/atom) = 0.0
data_LiBi2As2Pb2O10
_chemical_formula_sum 'Li1 Bi2 As2 Pb2 O10'
_symmetry_space_group_name_H-M 'P 1'
_symmetry_Int_Tables_number 1
_symmetry_space_group_name_Hall 'P 1'
_cell_length_a 6.0417
_cell_length_b 7.3256
_cell_length_c 7.5043
_cell_angle_alpha 69.71
_cell_angle_beta 81.59
_cell_angle_gamma 66.88
loop_
_atom_site_label
_atom_site_fract_x
_atom_site_fract_y
_atom_site_fract_z
Li1 0.0000 0.0000 0.0000
Bi1 0.7664 0.3716 0.6286
Bi2 0.8713 0.4181 0.1385
As1 0.1013 0.7491 0.7459
As2 0.4943 0.0103 0.0237
Pb1 0.2269 0.6381 0.3309
Pb2 0.4920 0.0297 0.5132
O1 0.0405 0.3870 0.3879
O2 0.0496 0.0106 0.7335
O3 0.1016 0.6168 0.9953
O4 0.1979 0.0975 0.1059
O5 0.3800 0.6523 0.6226
O6 0.5094 0.1370 0.7822
O7 0.5531 0.7439 0.0761
O8 0.6015 0.3440 0.4019
O9 0.6929 0.0480 0.1366
O10 0.8810 0.7268 0.6317

---

# La4Tb2Sm5, relaxed, DFT PBE
# - spin magnetization (μB per cell) = 0.0
# - D(E_F) (states/eV per cell) = 31.26
# - energy of formation from the pure elements (eV per atom) = 0.249
# - uncorrected energy (eV/atom) = -4.5298
# - E above lowest polymorph (meV/atom) = 170.6
data_La4Tb2Sm5
_chemical_formula_sum 'La8 Tb4 Sm10'
_symmetry_space_group_name_H-M 'I m m m'
_symmetry_Int_Tables_number 71
_symmetry_space_group_name_Hall '-I 2 2'
_cell_length_a 3.5460
_cell_length_b 9.4941
_cell_length_c 23.1492
_cell_angle_alpha 90.00
_cell_angle_beta 90.00
_cell_angle_gamma 90.00
loop_
_atom_site_label
_atom_site_fract_x
_atom_site_fract_y
_atom_site_fract_z
La1 0.0000 0.0000 0.0934
La2 0.0000 0.2898 0.5000
Tb1 0.0000 0.0000 0.2284
Sm1 0.0000 0.2006 0.3492
Sm2 0.0000 0.5000 0.0000

---

# K4BaSb, relaxed, DFT PBE
# - spin magnetization (μB per cell) = 0.0
# - D(E_F) (states/eV per cell) = 22.73
# - uncorrected energy (eV/atom) = -1.6094
# - raw formation energy (kJ/mol of formula units) = 75
data_K4BaSb
_chemical_formula_sum 'K16 Ba4 Sb4'
_symmetry_space_group_name_H-M 'F -4 3 m'
_symmetry_Int_Tables_number 216
_symmetry_space_group_name_Hall 'F -4 2 3'
_cell_length_a 10.7046
_cell_length_b 10.7046
_cell_length_c 10.7046
_cell_angle_alpha 90.00
_cell_angle_beta 90.00
_cell_angle_gamma 90.00
loop_
_atom_site_label
_atom_site_fract_x
_atom_site_fract_y
_atom_site_fract_z
K1 0.1226 0.1226 0.3774
Ba1 0.0000 0.0000 0.0000
Sb1 0.2500 0.2500 0.7500

---

# Ge2SbBr, relaxed, DFT PBE
# - spin magnetization (μB per cell) = 0.0
# - D(E_F) (states/eV per cell) = 5.70
# - uncorrected energy (eV/atom) = -3.5549
# - raw formation energy (kJ/mol of formula units) = 78
# - E above lowest polymorph (meV/atom) = 0.0
data_Ge2SbBr
_chemical_formula_sum 'Ge8 Sb4 Br4'
_symmetry_space_group_name_H-M 'F m -3 m'
_symmetry_Int_Tables_number 225
_symmetry_space_group_name_Hall '-F 4 2 3'
_cell_length_a 7.2148
_cell_length_b 7.2148
_cell_length_c 7.2148
_cell_angle_alpha 90.00
_cell_angle_beta 90.00
_cell_angle_gamma 90.00
loop_
_atom_site_label
_atom_site_fract_x
_atom_site_fract_y
_atom_site_fract_z
Ge1 0.2500 0.2500 0.2500
Sb1 0.0000 0.0000 0.0000
Br1 0.0000 0.0000 0.5000

---

# Mg2Zn4Pd3, relaxed, DFT PBE
# - spin magnetization (μB per cell) = 0.0
# - D(E_F) (states/eV per cell) = 4.72
# - energy of formation from the pure elements (eV per atom) = -0.472
# - uncorrected energy (eV/atom) = -3.1237
data_Mg2Zn4Pd3
_chemical_formula_sum 'Mg4 Zn8 Pd6'
_symmetry_space_group_name_H-M 'C 1 2/m 1'
_symmetry_Int_Tables_number 12
_symmetry_space_group_name_Hall '-C 2y'
_cell_length_a 9.2018
_cell_length_b 3.8959
_cell_length_c 8.3724
_cell_angle_alpha 90.00
_cell_angle_beta 113.44
_cell_angle_gamma 90.00
loop_
_atom_site_label
_atom_site_fract_x
_atom_site_fract_y
_atom_site_fract_z
Mg1 0.1636 0.0000 0.2283
Zn1 0.0069 0.5000 0.3461
Zn2 0.1683 0.0000 0.8899
Pd1 0.0000 0.5000 0.0000
Pd2 0.1690 0.0000 0.5690

---

# Mg2RhBr, relaxed, DFT PBE
# - spin magnetization (μB per cell) = 0.0
# - D(E_F) (states/eV per cell) = 1.54
# - uncorrected energy (eV/atom) = -3.5125
# - raw formation energy (kJ/mol of formula units) = -177
# - E above lowest polymorph (meV/atom) = 156.4
data_Mg2RhBr
_chemical_formula_sum 'Mg4 Rh2 Br2'
_symmetry_space_group_name_H-M 'I m m 2'
_symmetry_Int_Tables_number 44
_symmetry_space_group_name_Hall 'I 2 -2'
_cell_length_a 3.3904
_cell_length_b 3.4274
_cell_length_c 14.8337
_cell_angle_alpha 90.00
_cell_angle_beta 90.00
_cell_angle_gamma 90.00
loop_
_atom_site_label
_atom_site_fract_x
_atom_site_fract_y
_atom_site_fract_z
Mg1 0.0000 0.0000 0.0000
Mg2 0.0000 0.5000 0.2008
Rh1 0.0000 0.5000 0.6331
Br1 0.0000 0.0000 0.3906

---

# AlHRh2, relaxed, DFT PBE
# - spin magnetization (μB per cell) = 0.0
# - D(E_F) (states/eV per cell) = 12.29
# - uncorrected energy (eV/atom) = -5.5355
# - E above lowest polymorph (meV/atom) = 295.4
data_AlHRh2
_chemical_formula_sum 'Al4 H4 Rh8'
_symmetry_space_group_name_H-M 'F m -3 m'
_symmetry_Int_Tables_number 225
_symmetry_space_group_name_Hall '-F 4 2 3'
_cell_length_a 5.7496
_cell_length_b 5.7496
_cell_length_c 5.7496
_cell_angle_alpha 90.00
_cell_angle_beta 90.00
_cell_angle_gamma 90.00
loop_
_atom_site_label
_atom_site_fract_x
_atom_site_fract_y
_atom_site_fract_z
Al1 0.0000 0.0000 0.0000
H1 0.0000 0.0000 0.5000
Rh1 0.2500 0.2500 0.2500

---

Q: Which of these has the highest uncorrected energy?
A: K4BaSb